Record 1
Na3La9B8O27 | meta-GGA SCAN | PBEsol geometry

Results
Formation energy (no corrections)   -3.27 eV per atom
Total moment   0.00 μB/cell
VASP energy   -16.6371 eV/atom

Cell: 8.8616 8.8616 8.5920 Å, 90.00 90.00 120.00°
Space group P-62m (No. 189)
Inequivalent atoms, fractional coordinates:
Na 0.0000 0.6665 0.0000
La 0.0000 0.3486 0.2339
La 0.0000 0.7177 0.5000
B 0.0000 0.0000 0.2113
B 0.3333 0.6667 0.0000
B 0.3333 0.6667 0.3225
O 0.0000 0.2584 0.5000
O 0.0000 0.8435 0.2136
O 0.1781 0.6662 0.3166
O 0.1819 0.5037 0.0000

=====

Record 2
Na3La2B3O9 | meta-GGA SCAN | PBEsol geometry

Results
Formation energy (no corrections)   -2.91 eV per atom
Total moment   0.00 μB/cell
VASP energy   -13.3308 eV/atom

Cell: 5.127 11.296 7.236 Å, 90.00 90.00 90.00°
Space group Amm2 (No. 38)
Inequivalent atoms, fractional coordinates:
Na 0.000 0.000 0.000
Na 0.000 0.000 0.418
Na 0.500 0.000 0.749
La 0.500 0.213 0.121
B 0.000 0.216 0.800
B 0.500 0.000 0.348
O 0.000 0.172 0.218
O 0.235 0.160 0.834
O 0.500 0.000 0.155
O 0.500 0.106 0.442

=====

Record 3
La2Ni5B4 | meta-GGA SCAN | PBEsol geometry

Results
E_form   -0.49 eV/atom
Total moment   0.00 μB/cell
VASP energy   -18.3828 eV/atom

Cell: 9.718 5.075 6.724 Å, 90.00 125.11 90.00°
Space group C2/m (No. 12)
Inequivalent atoms, fractional coordinates:
La 0.224 0.000 0.145
Ni 0.000 0.500 0.000
Ni 0.077 0.249 0.375
B 0.098 0.000 0.638
B 0.221 0.500 0.341

=====

Record 4
LaNi12B6 | meta-GGA SCAN | PBEsol geometry

Results
E_form   -0.42 eV/atom
Total moment   0.00 μB/cell
VASP energy   -15.2462 eV/atom

Cell: 9.485 7.319 10.955 Å, 90.00 90.00 90.00°
Space group Cmc2_1 (No. 36)
Inequivalent atoms, fractional coordinates:
La 0.000 0.168 0.000
Ni 0.000 0.222 0.600
Ni 0.000 0.432 0.417
Ni 0.132 0.328 0.236
Ni 0.132 0.341 0.775
Ni 0.133 0.012 0.755
Ni 0.182 0.188 0.438
Ni 0.191 0.466 0.568
B 0.000 0.165 0.335
B 0.000 0.485 0.661
B 0.206 0.193 0.623
B 0.215 0.462 0.386

=====

Record 5
LaNi4B | meta-GGA SCAN | PBEsol geometry

Results
E_form   -0.39 eV/atom
Total moment   0.00 μB/cell
VASP energy   -19.5917 eV/atom

Cell: 5.0186 5.0186 6.9175 Å, 90.00 90.00 120.00°
Space group P6/mmm (No. 191)
Inequivalent atoms, fractional coordinates:
La 0.0000 0.0000 0.0000
La 0.0000 0.0000 0.5000
Ni 0.0000 0.5000 0.2072
Ni 0.3333 0.6667 0.5000
B 0.3333 0.6667 0.0000

=====

Record 6
LaNiB2 | meta-GGA SCAN | PBEsol geometry

Results
E_form   0.67 eV/atom
Total moment   0.00 μB/cell
VASP energy   -17.8625 eV/atom

Cell: 6.004 6.004 6.004 Å, 90.00 90.00 90.00°
Space group Fm-3m (No. 225)
Inequivalent atoms, fractional coordinates:
La 0.000 0.000 0.000
Ni 0.000 0.000 0.500
B 0.250 0.250 0.250